1.
Ba3Tl2Cl2O5 | the Alexandria database | GGA-PBE | optimized geometry; final energy = -60.62 eV per formula unit; SG = I4/mmm
1.0
-1.9101 12.7261 -3.3121
-4.3003 12.3335 2.4431
5.8901 -11.7978 1.6410
Tl Ba O Cl
2 3 5 2
direct
0.4149 0.4149 0.9999
0.5851 0.5851 0.0001
0.0000 0.0000 0.0000
0.8372 0.8372 0.0000
0.1628 0.1628 0.0000
0.5000 0.5000 0.0000
0.9028 0.4028 0.5000
0.4029 0.9028 0.5001
0.0972 0.5972 0.5000
0.5971 0.0972 0.4999
0.2931 0.2930 0.0001
0.7069 0.7070 0.9999

2.
Y2Pu3ThTe6 | the Alexandria database | GGA-PBE | optimized geometry; final energy = -96.25 eV per formula unit; SG = C2/m
1.0
-2.8668 1.4489 2.9723
-4.9026 -7.3322 -1.1543
7.5465 -3.1159 5.5758
Y Pu Th Te
2 3 1 6
direct
0.8340 0.6691 0.6680
0.1660 0.3309 0.3320
0.5000 0.5000 0.0000
0.8358 0.1673 0.6717
0.1642 0.8327 0.3283
0.5000 0.0000 0.0000
0.3303 0.9128 0.6607
0.6681 0.5803 0.3361
0.6697 0.0872 0.3393
0.0018 0.2569 0.0037
0.9982 0.7431 0.9963
0.3319 0.4197 0.6639

3.
Ca5ZrBi4 | the Alexandria database | GGA-PBE | optimized geometry; formation enthalpy at 0 K = -0.529 eV/atom; SG = C2/m
1.0
-3.2329 3.3102 0.7127
-5.8136 -5.8744 0.9131
6.2326 1.0177 8.1693
Ca Zr Bi
5 1 4
direct
0.8310 0.5772 0.6621
0.8313 0.0869 0.6625
0.1687 0.9131 0.3375
0.5000 0.5000 0.0000
0.1690 0.4228 0.3379
0.5000 0.0000 0.0000
0.3154 0.8160 0.6307
0.9998 0.7601 0.9997
0.6846 0.1840 0.3693
0.0002 0.2399 0.0003

4.
YAuN | the Alexandria database | GGA-PBE | optimized geometry; final energy = -20.97 eV per formula unit; SG = I4/mmm
1.0
-0.5309 1.3839 3.1039
-3.1132 -1.4578 0.1175
5.4588 -7.4117 2.3325
Au Y N
2 2 2
direct
0.0698 0.0698 0.1396
0.9302 0.9302 0.8604
0.6824 0.6824 0.3649
0.3176 0.3176 0.6351
0.8080 0.8080 0.6161
0.1920 0.1920 0.3839

5.
Dy7InRu2 | the Alexandria database | GGA-PBE | optimized geometry; formation enthalpy at 0 K = -0.119 eV/atom; SG = Cmmm
1.0
-2.8509 1.2872 -4.1779
4.6454 -4.7464 -4.6323
-6.3925 -3.8138 3.1870
Dy In Ru
7 1 2
direct
0.0000 0.7206 0.2794
0.0000 0.2794 0.7206
0.5000 0.0536 0.3167
0.5000 0.9464 0.6833
0.5000 0.3167 0.0536
0.5000 0.6833 0.9464
0.5000 0.5000 0.5000
0.0000 0.0000 0.0000
0.5000 0.6992 0.3008
0.5000 0.3008 0.6992

6.
Tl2Pd2Pb | the Alexandria database | GGA-PBE | optimized geometry; formation enthalpy at 0 K = -0.132 eV/atom; SG = Pmmn
1.0
4.8444 0.0000 0.0000
0.0000 4.7750 -0.0428
0.0000 0.0915 10.1473
Tl Pd Pb
4 4 2
direct
0.7500 0.2500 0.0009
0.2500 0.7501 0.6739
0.2500 0.7500 0.9991
0.7500 0.2499 0.3261
0.2500 0.2497 0.5010
0.7500 0.7499 0.1669
0.2500 0.2501 0.8331
0.7500 0.7503 0.4990
0.7500 0.2502 0.6696
0.2500 0.7498 0.3304